1.
Zn2Ga3Ag3 | GGA-PBE | optimized geometry Values from VASP.

Cell and atoms, written as Quantum ESPRESSO input:
```
&SYSTEM
  ibrav = 0, nat = 8, ntyp = 3
/
ATOMIC_SPECIES
Ga 69.72 Ga.upf
Ag 107.87 Ag.upf
Zn 65.41 Zn.upf
CELL_PARAMETERS angstrom
-3.9539 -0.7865 -0.9167
0.7732 -3.3801 -2.1107
-2.5078 -6.6626 5.2230
ATOMIC_POSITIONS angstrom
Ga -1.4369 -4.9355 -0.8546
Ga -4.2517 -5.8937 3.0502
Ga -1.5904 -2.0833 -1.5137
Ag -1.8645 -7.1172 2.3813
Ag 0.0000 0.0000 0.0000
Ag -3.8240 -3.7120 -0.1857
Zn -3.6531 -6.4823 0.3557
Zn -2.0355 -4.3469 1.8400
```

Properties
Total energy (eV/atom): -2.5098
Relative energy among the computed polymorphs (eV per atom): 0.000
Space-group type: P-1
ΔH_f (0 K) (eV per atom): 0.013
Total magnetic moment (Bohr magnetons per cell): 0.0
Theoretical density (g cm⁻³): 8.05


2.
ZnGaAg | GGA-PBE | optimized geometry Values from VASP.

Cell and atoms, written as Quantum ESPRESSO input:
```
&SYSTEM
  ibrav = 0, nat = 3, ntyp = 3
/
ATOMIC_SPECIES
Ga 69.72 Ga.upf
Ag 107.87 Ag.upf
Zn 65.41 Zn.upf
CELL_PARAMETERS angstrom
3.6507 0.0000 0.0000
0.0000 3.6507 0.0000
0.0000 0.0000 5.0438
ATOMIC_POSITIONS angstrom
Ga 1.8253 1.8253 2.5219
Ag 0.0000 0.0000 0.0000
Zn 1.8253 1.8253 0.0000
```

Properties
Total energy (eV/atom): -2.0523
Relative energy among the computed polymorphs (eV per atom): 0.351
Space-group type: P4/mmm
ΔH_f (0 K) (eV per atom): 0.332
Total magnetic moment (Bohr magnetons per cell): 0.0
Theoretical density (g cm⁻³): 6.00


3.
Zn5GaAg7 | GGA-PBE | optimized geometry Values from VASP.

Cell and atoms, written as Quantum ESPRESSO input:
```
&SYSTEM
  ibrav = 0, nat = 13, ntyp = 3
/
ATOMIC_SPECIES
Ag 107.87 Ag.upf
Zn 65.41 Zn.upf
Ga 69.72 Ga.upf
CELL_PARAMETERS angstrom
5.1927 0.0000 0.0000
2.5963 6.5856 0.1830
2.5963 0.1617 6.5861
ATOMIC_POSITIONS angstrom
Ag 7.7890 4.4130 2.3555
Ag 5.1927 4.4040 4.4182
Ag 5.1927 5.3768 1.3161
Ag 2.5963 1.5870 1.5921
Ag 5.1927 1.2987 5.3811
Ag 5.1927 2.4309 2.4387
Ag 7.7890 2.3413 4.4206
Zn 3.8926 6.6397 3.4801
Zn 3.8926 3.4586 6.6509
Zn 6.4927 3.4586 6.6509
Zn 6.4927 6.6397 3.4801
Zn 7.7890 5.1380 5.1547
Ga 5.1927 0.0449 0.0451
```

Properties
Total energy (eV/atom): -2.2417
Space-group type: Imm2
ΔH_f (0 K) (eV per atom): 0.016
Total magnetic moment (Bohr magnetons per cell): 0.0
Theoretical density (g cm⁻³): 8.50